No. 1
Below is a PBEsol-optimized structure of ScTaCd3, with properties calculated at the meta-GGA SCAN level.

## Properties
Energy above the lowest structure with this stoichiometry (kJ/mol of formula units): 0.0
Energy of formation from the pure elements (eV per atom): 1.05
Total energy (Ry per atom): -2.4524
SG: Pm-3m, No. 221

CIF file:
```
data_ScTaCd3
_cell_length_a 5.164
_cell_length_b 5.164
_cell_length_c 5.164
_cell_angle_alpha 90.00
_cell_angle_beta 90.00
_cell_angle_gamma 90.00
_space_group_name_H-M_alt 'P 1'
_space_group_IT_number 1
loop_
_space_group_symop_operation_xyz
'x,y,z'
loop_
_atom_site_label
_atom_site_fract_x
_atom_site_fract_y
_atom_site_fract_z
_atom_site_occupancy
Sc1 0.000 0.000 0.000 1
Ta1 0.500 0.500 0.500 1
Cd1 0.000 0.500 0.500 1
Cd2 0.500 0.000 0.500 1
Cd3 0.500 0.500 0.000 1
```

=====

No. 2
Below is a PBEsol-optimized structure of ZrSc2TaCd, with properties calculated at the meta-GGA SCAN level.

## Properties
Energy of formation from the pure elements (eV per atom): 1.12
Total energy (Ry per atom): -2.2132
SG: P4/mmm, No. 123

CIF file:
```
data_ZrSc2TaCd
_cell_length_a 5.071
_cell_length_b 5.071
_cell_length_c 4.847
_cell_angle_alpha 90.00
_cell_angle_beta 90.00
_cell_angle_gamma 90.00
_space_group_name_H-M_alt 'P 1'
_space_group_IT_number 1
loop_
_space_group_symop_operation_xyz
'x,y,z'
loop_
_atom_site_label
_atom_site_fract_x
_atom_site_fract_y
_atom_site_fract_z
_atom_site_occupancy
Zr1 0.000 0.000 0.000 1
Sc1 0.000 0.500 0.000 1
Sc2 0.500 0.000 0.000 1
Ta1 0.000 0.000 0.500 1
Cd1 0.500 0.500 0.500 1
```

=====

- Which of these has the highest energy of formation from the pure elements?
  ZrSc2TaCd

=====

- Look up the total energy of the first one.
  -2.4524 Ry per atom

=====

What did the second record say?
Below is a PBEsol-optimized structure of ZrSc2TaCd, with properties calculated at the meta-GGA SCAN level.

## Properties
Energy of formation from the pure elements (eV per atom): 1.12
Total energy (Ry per atom): -2.2132
SG: P4/mmm, No. 123

CIF file:
```
data_ZrSc2TaCd
_cell_length_a 5.071
_cell_length_b 5.071
_cell_length_c 4.847
_cell_angle_alpha 90.00
_cell_angle_beta 90.00
_cell_angle_gamma 90.00
_space_group_name_H-M_alt 'P 1'
_space_group_IT_number 1
loop_
_space_group_symop_operation_xyz
'x,y,z'
loop_
_atom_site_label
_atom_site_fract_x
_atom_site_fract_y
_atom_site_fract_z
_atom_site_occupancy
Zr1 0.000 0.000 0.000 1
Sc1 0.000 0.500 0.000 1
Sc2 0.500 0.000 0.000 1
Ta1 0.000 0.000 0.500 1
Cd1 0.500 0.500 0.500 1
```